Sc3NbC4 after structural relaxation, computed with GGA-PBE.

The structure in POSCAR format:
```
Sc3NbC4
1.0
5.6721 0.0000 0.0000
0.0000 6.5132 0.0000
-1.8916 0.0000 5.3264
Sc Nb C
6 2 8
direct
0.0000 0.1242 0.2500
0.0000 0.3749 0.7500
0.0000 0.6251 0.2500
0.0000 0.8758 0.7500
0.5000 0.3754 0.2500
0.5000 0.6246 0.7500
0.5000 0.1268 0.7500
0.5000 0.8732 0.2500
0.2548 0.3653 0.5098
0.2548 0.6347 0.0098
0.2627 0.1192 0.9982
0.2627 0.8808 0.4982
0.7373 0.1192 0.5018
0.7373 0.8808 0.0018
0.7452 0.3653 0.9902
0.7452 0.6347 0.4902
```

SG: P2/c
Energy of formation in eV/atom: -0.399